DFT (PBE) results for a relaxed structure of Ho6Cd2Co.

Cell: 12.021 7.097 7.178 Å, 90.00 125.85 90.00°
Space group C2/m (No. 12)
Unique sites:
Ho 0.039 0.249 0.290 x8
Ho 0.246 0.000 0.818 x4
Cd 0.244 0.500 0.745 x4
Co 0.000 0.500 0.000 x2

Results
**Energy relative to the elements**: -0.148 eV per atom
**V**: 27.57 Å³ per atom